[1]
Compound: Pr8SeS6
Source: Alexandria
Functional: GGA-PBE
Structure: optimized geometry

Calculated values
ΔE_f (raw) in meV/atom: -1602
Space group: P-3, No. 147
VASP energy in Ry/atom: -0.4435

Geometry as POSCAR:
```
Pr8SeS6
1.0
10.5191 0.0000 0.0000
-5.2595 9.1098 0.0000
0.0000 0.0000 4.2074
Pr Se S
8 1 6
Cartesian
-1.3925 3.0463 1.0910
-1.9251 8.7926 1.0910
0.0000 6.0732 3.1414
1.9419 2.7291 3.1163
3.3177 6.3807 1.0910
5.2596 3.0366 1.0659
7.1847 0.3172 3.1163
6.6521 6.0635 3.1163
0.0000 0.0000 2.1037
-2.0210 5.9355 1.0328
1.1297 4.3918 1.0328
4.3683 1.2175 3.1745
0.8912 7.8923 1.0328
4.1298 4.7180 3.1745
7.2805 3.1743 3.1745
```

[2]
Compound: In3SnPd3
Source: Alexandria
Functional: GGA-PBE
Structure: optimized geometry

Calculated values
ΔE_f in eV per atom: -0.4123
Space group: Cmmm, No. 65
VASP energy in Ry/atom: -0.3222

Geometry as POSCAR:
```
In3SnPd3
1.0
4.6087 -4.6228 0.0000
4.6087 4.6228 0.0000
0.0000 0.0000 6.6117
In Sn Pd
6 2 6
Cartesian
2.2057 0.0000 3.3059
4.6087 2.3824 0.0000
2.2411 0.0000 0.0000
6.9764 0.0000 0.0000
4.6087 -2.3824 0.0000
7.0118 0.0000 3.3059
4.6087 2.3337 3.3059
4.6087 -2.3337 3.3059
2.3044 2.3114 1.6353
2.3044 2.3114 4.9764
2.3044 -2.3114 1.6353
2.3044 -2.3114 4.9764
4.6087 0.0000 1.6740
4.6087 0.0000 4.9378
```

[3]
Compound: ErTh5Sc4
Source: Alexandria
Functional: GGA-PBE
Structure: optimized geometry

Calculated values
ΔE_f in eV per atom: 0.0300
Space group: P4/mmm, No. 123
VASP energy in Ry/atom: -0.4901

Geometry as POSCAR:
```
ErTh5Sc4
1.0
3.4715 0.0000 0.0000
0.0000 3.4715 0.0000
0.0000 0.0000 24.0998
Er Th Sc
1 5 4
Cartesian
0.0000 0.0000 0.0000
1.7357 1.7357 2.5572
1.7357 1.7357 7.3003
1.7357 1.7357 12.0499
1.7357 1.7357 16.7996
1.7357 1.7357 21.5427
0.0000 0.0000 4.9303
0.0000 0.0000 9.6734
0.0000 0.0000 14.4265
0.0000 0.0000 19.1695
```

[4]
Compound: Sc2Be2InIr5
Source: Alexandria
Functional: GGA-PBE
Structure: optimized geometry

Calculated values
ΔE_f in eV per atom: -0.6892
Space group: P4/mbm, No. 127
VASP energy in Ry/atom: -0.5443

Geometry as POSCAR:
```
Sc2Be2InIr5
1.0
9.6553 0.0000 0.0000
0.0000 9.6553 0.0000
0.0000 0.0000 3.1725
Sc Be In Ir
4 4 2 10
Cartesian
1.7094 3.1182 0.0000
3.1182 7.9459 0.0000
6.5371 1.7094 0.0000
7.9459 6.5371 0.0000
1.1769 6.0046 0.0000
3.6507 1.1769 0.0000
6.0046 8.4784 0.0000
8.4784 3.6507 0.0000
0.0000 0.0000 0.0000
4.8277 4.8277 0.0000
0.0000 4.8277 1.5863
0.6643 7.5414 1.5863
2.1140 0.6643 1.5863
2.7137 5.4919 1.5863
4.1634 2.7137 1.5863
4.8277 0.0000 1.5863
5.4919 6.9416 1.5863
6.9416 4.1634 1.5863
7.5414 8.9910 1.5863
8.9910 2.1140 1.5863
```

[5]
Compound: FeRhW2
Source: Alexandria
Functional: GGA-PBE
Structure: optimized geometry

Calculated values
ΔE_f in eV per atom: -0.0169
Space group: P4/mmm, No. 123
VASP energy in Ry/atom: -0.7678

Geometry as POSCAR:
```
FeRhW2
1.0
2.7438 0.0000 0.0000
0.0000 2.7438 0.0000
0.0000 0.0000 7.5084
Fe Rh W
1 1 2
Cartesian
0.0000 0.0000 0.0000
0.0000 0.0000 3.7542
1.3719 1.3719 1.7582
1.3719 1.3719 5.7502
```

[6]
Compound: Pm3Sn7
Source: Alexandria
Functional: GGA-PBE
Structure: optimized geometry

Calculated values
ΔE_f in eV per atom: -0.5555
Space group: C2/m, No. 12
VASP energy in Ry/atom: -0.3515

Geometry as POSCAR:
```
Pm3Sn7
1.0
8.9934 -2.3020 0.0000
8.9934 2.3020 0.0000
-1.5715 0.0000 6.5729
Pm Sn
3 7
Cartesian
0.0000 0.0000 0.0000
2.3023 0.0000 4.0153
14.1130 0.0000 2.5576
-0.7857 0.0000 3.2865
3.4558 0.0000 0.7490
5.9597 0.0000 4.6660
7.0345 0.0000 1.3141
9.3807 0.0000 5.2588
10.4555 0.0000 1.9070
12.9595 0.0000 5.8239
```

[7]
Compound: Tc4Ni3
Source: Alexandria
Functional: GGA-PBE
Structure: optimized geometry

Calculated values
ΔE_f in eV per atom: 0.0735
Space group: I4/mmm, No. 139
VASP energy in Ry/atom: -0.6121

Geometry as POSCAR:
```
Tc4Ni3
1.0
-1.5617 1.5617 9.4029
1.5617 -1.5617 9.4029
1.5617 1.5617 -9.4029
Tc Ni
4 3
Cartesian
0.0000 0.0000 1.3124
0.0000 0.0000 6.6750
0.0000 0.0000 12.1307
0.0000 0.0000 17.4933
0.0000 0.0000 4.1478
0.0000 0.0000 9.4029
0.0000 0.0000 14.6579
```

[8]
Compound: Pm3In4Ir4
Source: Alexandria
Functional: GGA-PBE
Structure: optimized geometry

Calculated values
ΔE_f in eV per atom: -0.4965
Space group: Immm, No. 71
VASP energy in Ry/atom: -0.4417

Geometry as POSCAR:
```
Pm3In4Ir4
1.0
-2.1749 3.9316 7.2260
2.1749 -3.9316 7.2260
2.1749 3.9316 -7.2260
Pm In Ir
3 4 4
Cartesian
0.0000 0.0000 0.0000
2.1749 0.0000 5.4325
0.0000 3.9316 1.7935
2.1749 1.5437 -2.4475
2.1749 1.5437 2.4475
0.0000 2.3879 4.7785
0.0000 2.3879 9.6735
0.0000 0.0000 3.1991
2.1749 2.6571 0.0000
0.0000 1.2745 7.2260
0.0000 0.0000 11.2529
```